# 1
TcTeP2 | Alexandria | SCAN | PBEsol geometry; magnetic moment = 0.36 μB/cell; E = -93.13 eV per cell; formation energy (no corrections) = -0.01 eV per atom; space-group type = C2/m (12)
1.0
-1.8372 2.1386 0.7446
-2.8100 0.5145 -2.7007
-5.8678 -4.1172 3.0574
Tc P Te
1 2 1
Direct
0.0000 0.0000 0.0000
0.6559 0.5414 0.1468
0.3441 0.4586 0.8532
0.5000 0.5000 0.5000



# 2
Tl3RhCl | Alexandria | SCAN | PBEsol geometry; magnetic moment = 1.55 μB/cell; E = -255.64 eV per cell; formation energy (no corrections) = 0.64 eV per atom; space-group type = Pm-3m (221); energy above the most stable polymorph in this dataset = 1092 meV per atom
1.0
-0.0572 -0.6980 -5.4462
-0.4142 -5.4304 0.7004
-5.4751 0.4181 0.0039
Tl Cl Rh
3 1 1
Direct
0.0000 0.0000 0.5000
0.0000 0.5000 0.0000
0.5000 0.0000 0.0000
0.0000 0.0000 0.0000
0.5000 0.5000 0.5000